[1]
Mg2Tc after structural relaxation. Source: Alexandria via LeMat-Bulk, functional PBE-GGA.

CIF file:
```
data_Mg2Tc
_cell_length_a 8.9192
_cell_length_b 5.2673
_cell_length_c 4.5191
_cell_angle_alpha 90.00
_cell_angle_beta 90.00
_cell_angle_gamma 90.00
_symmetry_space_group_name_H-M 'C m c m'
_symmetry_Int_Tables_number 63
_symmetry_space_group_name_Hall '-C 2c 2'
loop_
_atom_site_label
_atom_site_type_symbol
_atom_site_fract_x
_atom_site_fract_y
_atom_site_fract_z
Mg1 Mg 0.1627 0.1612 0.2500
Tc1 Tc 0.0000 0.3853 0.7500
```

Summary:
- E_form: 0.148 eV/atom
- Relative energy among the computed polymorphs: 142 meV/atom



[2]
K3InI6 after structural relaxation. Source: Alexandria via LeMat-Bulk, functional PBE-GGA.

CIF file:
```
data_K3InI6
_cell_length_a 8.3901
_cell_length_b 9.0018
_cell_length_c 14.3099
_cell_angle_alpha 90.00
_cell_angle_beta 123.35
_cell_angle_gamma 90.00
_symmetry_space_group_name_H-M 'P 1 21/c 1'
_symmetry_Int_Tables_number 14
_symmetry_space_group_name_Hall '-P 2ybc'
loop_
_atom_site_label
_atom_site_type_symbol
_atom_site_fract_x
_atom_site_fract_y
_atom_site_fract_z
K1 K 0.0000 0.0000 0.0000
K2 K 0.2039 0.0854 0.7393
In1 In 0.5000 0.0000 0.5000
I1 I 0.1595 0.1741 0.4458
I2 I 0.2622 0.7230 0.4229
I3 I 0.4090 0.0553 0.2725
```

Summary:
- Relative energy among the computed polymorphs: 0 meV/atom